(1)
Below is an optimized crystal structure of K2MgPtF, with properties calculated at the PBE level.

Cell and atoms, written as CIF:
```
data_K2MgPtF
_chemical_formula_sum 'K2 Mg1 Pt1 F1'
_cell_length_a 6.1033
_cell_length_b 6.1033
_cell_length_c 4.9978
_cell_angle_alpha 90.00
_cell_angle_beta 90.00
_cell_angle_gamma 90.00
_symmetry_space_group_name_H-M 'P 4/m m m'
_symmetry_Int_Tables_number 123
_symmetry_space_group_name_Hall '-P 4 2'
loop_
_atom_site_label
_atom_site_type_symbol
_atom_site_fract_x
_atom_site_fract_y
_atom_site_fract_z
K1 K 0.0000 0.5000 0.0000
Mg1 Mg 0.0000 0.0000 0.5000
Pt1 Pt 0.0000 0.0000 0.0000
F1 F 0.5000 0.5000 0.5000
```

(2)
Below is an optimized crystal structure of KMgPt2F, with properties calculated at the PBE level.

Cell and atoms, written as CIF:
```
data_KMgPt2F
_chemical_formula_sum 'K1 Mg1 Pt2 F1'
_cell_length_a 4.6718
_cell_length_b 4.6718
_cell_length_c 4.5491
_cell_angle_alpha 90.00
_cell_angle_beta 90.00
_cell_angle_gamma 90.00
_symmetry_space_group_name_H-M 'P 4/m m m'
_symmetry_Int_Tables_number 123
_symmetry_space_group_name_Hall '-P 4 2'
loop_
_atom_site_label
_atom_site_type_symbol
_atom_site_fract_x
_atom_site_fract_y
_atom_site_fract_z
K1 K 0.0000 0.0000 0.0000
Mg1 Mg 0.5000 0.5000 0.0000
Pt1 Pt 0.0000 0.5000 0.5000
F1 F 0.0000 0.0000 0.5000
```

Number 1: DFT total energy -3.02 eV per atom, E_form (uncorrected) -0.677 eV per atom. Number 2: DFT total energy -3.37 eV per atom, E_form (uncorrected) -0.040 eV per atom.